No. 1
# LaY3Cu

Crystalline LaY3Cu at its relaxed geometry (PBE, the Alexandria database).

a b c (Å): 5.434 5.434 5.434
angles (deg): 90.00 90.00 90.00
Positions (direct):
La: 0.000 0.000 0.000
Y: 0.000 0.500 0.500
Y: 0.500 0.000 0.500
Y: 0.500 0.500 0.000
Cu: 0.500 0.500 0.500



No. 2
# CeTh2Zn

Crystalline CeTh2Zn at its relaxed geometry (PBE, the Alexandria database).

a b c (Å): 5.304 5.304 5.304
angles (deg): 60.00 60.00 60.00
Positions (direct):
Ce: 0.000 0.000 0.000
Th: 0.250 0.250 0.250
Th: 0.750 0.750 0.750
Zn: 0.500 0.500 0.500



no.,electronic total energy (eV/atom),formation energy from the elements (eV/atom),mass density (g/cm³)
1,-5.641,0.0421,4.85
2,-5.403,0.1085,10.54